# KIn2Si

A relaxed KIn2Si crystal (PBE-GGA, Alexandria). Values from VASP.

Geometry as Quantum ESPRESSO input:
```
&SYSTEM
  ibrav = 0, nat = 4, ntyp = 3
/
ATOMIC_SPECIES
In 114.82 In.upf
Si 28.09 Si.upf
K 39.10 K.upf
CELL_PARAMETERS angstrom
8.083 0.032 0.019
6.889 4.228 0.019
6.889 1.960 3.746
ATOMIC_POSITIONS crystal
In 0.471 0.471 0.471
In 0.029 0.029 0.029
Si 0.750 0.750 0.750
K 0.250 0.250 0.250
```

Calculated values
formation energy without anion corrections: 72 meV per atom
symmetry: No. 166
volume: 31.65 A^3/atom
total moment: 0.0 Bohr magnetons per cell



# KInSi

A relaxed KInSi crystal (PBE-GGA, Alexandria). Values from VASP.

Geometry as Quantum ESPRESSO input:
```
&SYSTEM
  ibrav = 0, nat = 6, ntyp = 3
/
ATOMIC_SPECIES
K 39.10 K.upf
Si 28.09 Si.upf
In 114.82 In.upf
CELL_PARAMETERS angstrom
7.762 0.000 0.000
0.000 4.481 0.000
0.000 0.000 5.522
ATOMIC_POSITIONS crystal
K 0.000 0.000 0.500
K 0.500 0.500 0.500
Si 0.149 0.500 0.000
Si 0.851 0.500 0.000
In 0.319 0.000 0.000
In 0.681 0.000 0.000
```

Calculated values
formation energy without anion corrections: -17 meV per atom
symmetry: No. 47
volume: 32.01 A^3/atom
total moment: 0.0 Bohr magnetons per cell



# KInSi

A relaxed KInSi crystal (PBE-GGA, Alexandria). Values from VASP.

Geometry as Quantum ESPRESSO input:
```
&SYSTEM
  ibrav = 0, nat = 6, ntyp = 3
/
ATOMIC_SPECIES
Si 28.09 Si.upf
In 114.82 In.upf
K 39.10 K.upf
CELL_PARAMETERS angstrom
-4.033 3.912 10.853
-1.575 -3.184 4.895
4.585 -3.729 -1.284
ATOMIC_POSITIONS crystal
Si 0.565 0.324 0.962
Si 0.565 0.038 0.676
In 0.395 0.851 0.500
In 0.395 0.500 0.149
K 0.811 0.543 0.457
K 0.009 0.847 0.153
```

Calculated values
formation energy without anion corrections: 96 meV per atom
symmetry: No. 8
volume: 35.33 A^3/atom
total moment: 0.0 Bohr magnetons per cell



# KIn2Si

A relaxed KIn2Si crystal (PBE-GGA, Alexandria). Values from VASP.

Geometry as Quantum ESPRESSO input:
```
&SYSTEM
  ibrav = 0, nat = 4, ntyp = 3
/
ATOMIC_SPECIES
In 114.82 In.upf
K 39.10 K.upf
Si 28.09 Si.upf
CELL_PARAMETERS angstrom
5.346 0.000 0.000
0.085 5.345 0.000
-2.715 -2.673 3.750
ATOMIC_POSITIONS crystal
In 0.250 0.750 0.500
In 0.000 0.000 0.000
K 0.500 0.500 0.000
Si 0.750 0.250 0.500
```

Calculated values
formation energy without anion corrections: 291 meV per atom
symmetry: No. 119
volume: 26.79 A^3/atom
total moment: 0.0 Bohr magnetons per cell



# KInSi

A relaxed KInSi crystal (PBE-GGA, Alexandria). Values from VASP.

Geometry as Quantum ESPRESSO input:
```
&SYSTEM
  ibrav = 0, nat = 6, ntyp = 3
/
ATOMIC_SPECIES
In 114.82 In.upf
K 39.10 K.upf
Si 28.09 Si.upf
CELL_PARAMETERS angstrom
-13.740 -1.050 9.603
-7.590 -2.555 2.090
7.943 -1.199 -1.996
ATOMIC_POSITIONS crystal
In 0.863 0.330 0.670
In 0.616 0.188 0.812
K 0.809 0.669 0.331
K 0.330 0.280 0.720
Si 0.199 0.124 0.876
Si 0.284 0.628 0.372
```

Calculated values
formation energy without anion corrections: 49 meV per atom
symmetry: No. 8
volume: 29.37 A^3/atom
total moment: 0.0 Bohr magnetons per cell



# KIn2Si

A relaxed KIn2Si crystal (PBE-GGA, Alexandria). Values from VASP.

Geometry as Quantum ESPRESSO input:
```
&SYSTEM
  ibrav = 0, nat = 4, ntyp = 3
/
ATOMIC_SPECIES
K 39.10 K.upf
In 114.82 In.upf
Si 28.09 Si.upf
CELL_PARAMETERS angstrom
5.631 -0.027 0.000
1.398 5.455 0.000
-3.514 -2.714 3.463
ATOMIC_POSITIONS crystal
K 0.250 0.750 0.500
In 0.500 0.500 0.000
In 0.000 0.000 0.000
Si 0.750 0.250 0.500
```

Calculated values
formation energy without anion corrections: 273 meV per atom
symmetry: No. 139
volume: 26.62 A^3/atom
total moment: 0.0 Bohr magnetons per cell



# KInSi

A relaxed KInSi crystal (PBE-GGA, Alexandria). Values from VASP.

Geometry as Quantum ESPRESSO input:
```
&SYSTEM
  ibrav = 0, nat = 6, ntyp = 3
/
ATOMIC_SPECIES
Si 28.09 Si.upf
In 114.82 In.upf
K 39.10 K.upf
CELL_PARAMETERS angstrom
8.235 0.000 0.002
0.000 3.729 0.000
2.747 0.000 6.249
ATOMIC_POSITIONS crystal
Si 0.543 0.000 0.658
Si 0.543 0.500 0.422
In 0.844 0.500 0.503
In 0.243 0.500 0.796
K 0.273 0.000 0.262
K 0.813 0.000 0.999
```

Calculated values
formation energy without anion corrections: 32 meV per atom
symmetry: No. 6
volume: 31.97 A^3/atom
total moment: 0.0 Bohr magnetons per cell



# KInSi

A relaxed KInSi crystal (PBE-GGA, Alexandria). Values from VASP.

Geometry as Quantum ESPRESSO input:
```
&SYSTEM
  ibrav = 0, nat = 6, ntyp = 3
/
ATOMIC_SPECIES
K 39.10 K.upf
In 114.82 In.upf
Si 28.09 Si.upf
CELL_PARAMETERS angstrom
-5.556 1.364 2.813
0.724 -4.401 0.052
3.921 2.948 5.324
ATOMIC_POSITIONS crystal
K 0.108 0.982 0.165
K 0.668 0.418 0.473
In 0.083 0.253 0.739
In 0.526 0.623 0.022
Si 0.675 0.113 0.852
Si 0.300 0.816 0.648
```

Calculated values
formation energy without anion corrections: 23 meV per atom
symmetry: No. 1
volume: 30.10 A^3/atom
total moment: 0.0 Bohr magnetons per cell



# KIn2Si

A relaxed KIn2Si crystal (PBE-GGA, Alexandria). Values from VASP.

Geometry as Quantum ESPRESSO input:
```
&SYSTEM
  ibrav = 0, nat = 4, ntyp = 3
/
ATOMIC_SPECIES
In 114.82 In.upf
K 39.10 K.upf
Si 28.09 Si.upf
CELL_PARAMETERS angstrom
6.439 -0.177 0.000
-3.133 5.628 0.000
0.000 0.000 3.005
ATOMIC_POSITIONS crystal
In 0.000 0.000 0.000
In 0.500 0.500 0.000
K 0.500 0.000 0.500
Si 0.000 0.500 0.500
```

Calculated values
formation energy without anion corrections: 355 meV per atom
symmetry: No. 65
volume: 26.81 A^3/atom
total moment: 0.0 Bohr magnetons per cell



# KInSi2Sn

A relaxed KInSi2Sn crystal (PBE-GGA, Alexandria). Values from VASP.

Geometry as Quantum ESPRESSO input:
```
&SYSTEM
  ibrav = 0, nat = 5, ntyp = 4
/
ATOMIC_SPECIES
K 39.10 K.upf
Sn 118.71 Sn.upf
Si 28.09 Si.upf
In 114.82 In.upf
CELL_PARAMETERS angstrom
6.532 0.000 0.000
0.000 6.532 0.000
0.000 0.000 7.061
ATOMIC_POSITIONS crystal
K 0.000 0.000 0.000
Sn 0.000 0.000 0.500
Si 0.000 0.500 0.000
Si 0.500 0.000 0.000
In 0.500 0.500 0.500
```

Calculated values
formation energy without anion corrections: 1858 meV per atom
symmetry: No. 123
volume: 60.26 A^3/atom
total moment: 0.0 Bohr magnetons per cell



# KInSiTc2

A relaxed KInSiTc2 crystal (PBE-GGA, Alexandria). Values from VASP.

Geometry as Quantum ESPRESSO input:
```
&SYSTEM
  ibrav = 0, nat = 5, ntyp = 4
/
ATOMIC_SPECIES
Tc 98.00 Tc.upf
K 39.10 K.upf
In 114.82 In.upf
Si 28.09 Si.upf
CELL_PARAMETERS angstrom
4.666 0.000 0.000
0.000 5.414 0.000
0.000 0.000 4.666
ATOMIC_POSITIONS crystal
Tc 0.000 0.000 0.500
Tc 0.500 0.000 0.000
K 0.000 0.000 0.000
In 0.000 0.500 0.000
Si 0.500 0.500 0.500
```

Calculated values
formation energy without anion corrections: 2780 meV per atom
symmetry: No. 123
volume: 23.58 A^3/atom
total moment: 3.1 Bohr magnetons per cell



# KInSi2Te

A relaxed KInSi2Te crystal (PBE-GGA, Alexandria). Values from VASP.

Geometry as Quantum ESPRESSO input:
```
&SYSTEM
  ibrav = 0, nat = 5, ntyp = 4
/
ATOMIC_SPECIES
K 39.10 K.upf
Te 127.60 Te.upf
Si 28.09 Si.upf
In 114.82 In.upf
CELL_PARAMETERS angstrom
5.244 0.000 0.000
0.000 6.071 0.000
0.000 0.000 5.244
ATOMIC_POSITIONS crystal
K 0.500 0.500 0.500
Te 0.000 0.500 0.000
Si 0.500 0.000 0.000
Si 0.000 0.000 0.500
In 0.000 0.000 0.000
```

Calculated values
formation energy without anion corrections: 551 meV per atom
symmetry: No. 123
volume: 33.39 A^3/atom
total moment: 0.0 Bohr magnetons per cell